Material: ZrSbAs2Br
Method: DFT, PBE-GGA
State: relaxed

Calculated values
The density of states at the Fermi level comes out at 3.56 states/eV per cell. For the calculated density, the calculation gives 5.1 g/cm³. As for the space group: P4/mmm. As for the calculated total energy: -4.644 eV per atom. The uncorrected formation energy comes out at 8 kJ/mol of atoms. Its energy above the lowest structure with this stoichiometry is 0 kJ/mol of formula units.

Unit cell a=5.316 b=5.316 c=5.099 alpha=90.00 beta=90.00 gamma=90.00
Fractional positions:
Sb: 0.500 0.500 0.500
Zr: 0.000 0.000 0.000
As: 0.000 0.500 0.000
As: 0.500 0.000 0.000
Br: 0.000 0.000 0.500